[1]
The following is a PBE-GGA calculation of TbDy2P3Rh12 after structural relaxation, from Alexandria via LeMat-Bulk.

abc: 6.7058 6.7058 6.7058
angles: 83.79 83.79 83.79
Closest atoms and distances in Å follow each position.
Fractional positions:
P 0.0000 0.5000 0.0000  2 Rh 2.23
P 0.5000 0.0000 0.0000  2 Rh 2.23
P 0.0000 0.0000 0.5000  2 Rh 2.23
Rh 0.6302 0.6302 0.0926  2 P 2.57, 1 Rh 2.69
Rh 0.3698 0.3698 0.9074  2 P 2.57, 1 Rh 2.69
Rh 0.8201 0.3379 0.8201  1 P 2.23
Rh 0.1799 0.6621 0.1799  1 P 2.23
Rh 0.3379 0.8201 0.8201  1 P 2.23
Rh 0.6302 0.0926 0.6302  2 P 2.57, 1 Rh 2.69
Rh 0.1799 0.1799 0.6621  1 P 2.23
Rh 0.8201 0.8201 0.3379  1 P 2.23
Rh 0.0926 0.6302 0.6302  2 P 2.57, 1 Rh 2.69
Rh 0.6621 0.1799 0.1799  1 P 2.23
Rh 0.9074 0.3698 0.3698  2 P 2.57, 1 Rh 2.69
Rh 0.3698 0.9074 0.3698  2 P 2.57, 1 Rh 2.69
Dy 0.3722 0.3722 0.3722  3 Rh 2.53
Dy 0.6278 0.6278 0.6278  3 Rh 2.53
Tb 0.0000 0.0000 0.0000  6 Rh 2.68

Calculated values
The energy of formation from the pure elements comes out at -718 kJ/mol of formula units. The total magnetic moment comes out at 0.000 μB/f.u. Its space-group type is R-3m (166).

=====

[2]
The following is a PBE-GGA calculation of Tb2DyP3Rh12 after structural relaxation, from Alexandria via LeMat-Bulk.

abc: 6.7103 6.7103 6.7103
angles: 83.80 83.80 83.80
Closest atoms and distances in Å follow each position.
Fractional positions:
Rh 0.8206 0.8206 0.3371  1 P 2.23
Rh 0.6307 0.0921 0.6307  2 P 2.57, 1 Rh 2.69
Rh 0.8206 0.3371 0.8206  1 P 2.23
Rh 0.3371 0.8206 0.8206  1 P 2.23
Rh 0.6307 0.6307 0.0921  2 P 2.57, 1 Rh 2.69
Rh 0.9079 0.3693 0.3693  2 P 2.57, 1 Rh 2.69
Rh 0.0921 0.6307 0.6307  2 P 2.57, 1 Rh 2.69
Rh 0.1794 0.6629 0.1794  1 P 2.23
Rh 0.3693 0.3693 0.9079  2 P 2.57, 1 Rh 2.69
Rh 0.1794 0.1794 0.6629  1 P 2.23
Rh 0.3693 0.9079 0.3693  2 P 2.57, 1 Rh 2.69
Rh 0.6629 0.1794 0.1794  1 P 2.23
P 0.0000 0.0000 0.5000  2 Rh 2.23
P 0.0000 0.5000 0.0000  2 Rh 2.23
P 0.5000 0.0000 0.0000  2 Rh 2.23
Tb 0.3719 0.3719 0.3719  3 Rh 2.53
Tb 0.6281 0.6281 0.6281  3 Rh 2.53
Dy 0.0000 0.0000 0.0000  6 Rh 2.67

Calculated values
The energy of formation from the pure elements comes out at -706 kJ/mol of formula units. The total magnetic moment comes out at 0.000 μB/f.u. Its space-group type is R-3m (166).

=====

[3]
The following is a PBE-GGA calculation of DyTcP2Rh after structural relaxation, from Alexandria via LeMat-Bulk.

abc: 4.0702 4.0702 5.6196
angles: 111.23 111.23 90.00
Closest atoms and distances in Å follow each position.
Fractional positions:
P 0.6235 0.6235 0.2470  2 Tc 2.37, 2 Rh 2.37, 1 P 2.38
P 0.3765 0.3765 0.7530  2 Tc 2.37, 2 Rh 2.37, 1 P 2.38
Tc 0.7500 0.2500 0.5000  4 P 2.37
Rh 0.2500 0.7500 0.5000  4 P 2.37
Dy 0.0000 0.0000 0.0000  8 P 3.12, 4 Tc 3.16, 4 Rh 3.16

Calculated values
The energy of formation from the pure elements comes out at -496 kJ/mol of formula units. The total magnetic moment comes out at 0.000 μB/f.u. Its space-group type is I-4m2 (119).

=====

[4]
The following is a PBE-GGA calculation of Dy3TeP2Rh9 after structural relaxation, from Alexandria via LeMat-Bulk.

abc: 6.0569 6.0569 9.2342
angles: 90.00 90.00 120.00
Closest atoms and distances in Å follow each position.
Fractional positions:
P 0.3333 0.6667 0.1602  6 Rh 2.18-2.29
P 0.6667 0.3333 0.8398  6 Rh 2.18-2.29
Dy 0.6667 0.3333 0.2686  9 Rh 3.03
Dy 0.3333 0.6667 0.7314  9 Rh 3.03
Dy 0.0000 0.0000 0.0000  12 Rh 2.98-3.03
Rh 0.0000 0.5000 0.0000  2 P 2.29
Rh 0.5000 0.0000 0.0000  2 P 2.29
Rh 0.1514 0.8486 0.2732  1 P 2.18
Rh 0.6971 0.8486 0.2732  1 P 2.18
Rh 0.5000 0.5000 0.0000  2 P 2.29
Rh 0.8486 0.6971 0.7268  1 P 2.18
Rh 0.8486 0.1514 0.7268  1 P 2.18
Rh 0.1514 0.3029 0.2732  1 P 2.18
Rh 0.3029 0.1514 0.7268  1 P 2.18
Te 0.0000 0.0000 0.5000  6 Rh 2.63

Calculated values
The total magnetic moment comes out at 0.000 μB/f.u. Its space-group type is P-3m1 (164). For the final energy, the calculation gives -6.930 eV per atom.